{
  "formula": "HoMg5",
  "functional": "PBEsol",
  "state": "optimized geometry",
  "lattice": [[11.8235, 0.0000, 0.0000], [0.0000, 3.6283, 0.0000], [-2.1265, 0.0000, 6.6830]],
  "species": ["Ho", "Ho", "Mg", "Mg", "Mg", "Mg", "Mg", "Mg", "Mg", "Mg", "Mg", "Mg"],
  "frac_coords": [[0.0000, 0.0000, 0.0000], [0.5000, 0.5000, 0.0000], [0.0000, 0.0000, 0.5000], [0.1711, 0.5000, 0.3438], [0.1751, 0.5000, 0.8294], [0.3249, 0.0000, 0.1706], [0.3289, 0.0000, 0.6562], [0.5000, 0.5000, 0.5000], [0.6711, 0.0000, 0.3438], [0.6751, 0.0000, 0.8294], [0.8249, 0.5000, 0.1706], [0.8289, 0.5000, 0.6562]],
  "formation_enthalpy_0k_ev_per_fu": 0.0,
  "total_magnetization_mub_per_cell": 0.00,
  "spacegroup": "C2/m (12)"
}